# 1
A geometry-optimized GaW structure, computed with PBE.

## Properties
formation energy from the elements = 1.549 eV per formula unit

Lattice parameters (Å, degrees): 10.2514 10.2514 3.2089 90.00 90.00 90.00
With the nearest neighbours (Å) after each atom.
Element x y z (fractional)
Ga1 0.4546 0.6757 0.0000  4 W 2.59-2.72, 2 Ga 2.63
Ga2 0.9546 0.1757 0.5000  4 W 2.59-2.72, 2 Ga 2.63
Ga3 0.6757 0.5454 0.0000  4 W 2.59-2.72, 2 Ga 2.63
Ga4 0.3243 0.4546 0.0000  4 W 2.59-2.72, 2 Ga 2.63
Ga5 0.5454 0.3243 0.0000  4 W 2.59-2.72, 2 Ga 2.63
Ga6 0.0454 0.8243 0.5000  4 W 2.59-2.72, 2 Ga 2.63
Ga7 0.1757 0.0454 0.5000  4 W 2.59-2.72, 2 Ga 2.63
Ga8 0.8243 0.9546 0.5000  4 W 2.59-2.72, 2 Ga 2.63
W1 0.1742 0.3015 0.5000  2 W 2.47, 4 Ga 2.59-2.72
W2 0.1985 0.6742 0.0000  2 W 2.47, 4 Ga 2.59-2.72
W3 0.6985 0.1742 0.5000  2 W 2.47, 4 Ga 2.59-2.72
W4 0.6742 0.8015 0.0000  2 W 2.47, 4 Ga 2.59-2.72
W5 0.3015 0.8258 0.5000  2 W 2.47, 4 Ga 2.59-2.72
W6 0.8015 0.3258 0.0000  2 W 2.47, 4 Ga 2.59-2.72
W7 0.3258 0.1985 0.0000  2 W 2.47, 4 Ga 2.59-2.72
W8 0.8258 0.6985 0.5000  2 W 2.47, 4 Ga 2.59-2.72

***

# 2
A geometry-optimized Pm19Sm4Ho6 structure, computed with PBE.

## Properties
formation energy from the elements = 10.693 eV per formula unit

Lattice parameters (Å, degrees): 10.9587 10.9587 10.9587 109.47 109.47 109.47
With the nearest neighbours (Å) after each atom.
Element x y z (fractional)
Pm1 0.0000 0.7403 0.7403  5 Pm 3.29-3.64, 2 Sm 3.40, 2 Ho 3.42
Pm2 0.4561 0.6764 0.6583  1 Ho 3.21, 2 Sm 3.37-3.47, 1 Pm 3.42
Pm3 0.3236 0.7796 0.9818  1 Ho 3.21, 2 Sm 3.37-3.47, 1 Pm 3.42
Pm4 0.2204 0.5439 0.2022  1 Ho 3.21, 2 Sm 3.37-3.47, 1 Pm 3.42
Pm5 0.2597 0.2597 0.0000  5 Pm 3.29-3.64, 2 Sm 3.40, 2 Ho 3.42
Pm6 0.0000 0.2597 0.2597  5 Pm 3.29-3.64, 2 Sm 3.40, 2 Ho 3.42
Pm7 0.5439 0.2022 0.2204  1 Ho 3.21, 2 Sm 3.37-3.47, 1 Pm 3.42
Pm8 0.2022 0.2204 0.5439  1 Ho 3.21, 2 Sm 3.37-3.47, 1 Pm 3.42
Pm9 0.6583 0.4561 0.6764  1 Ho 3.21, 2 Sm 3.37-3.47, 1 Pm 3.42
Pm10 0.7796 0.9818 0.3236  1 Ho 3.21, 2 Sm 3.37-3.47, 1 Pm 3.42
Pm11 0.9818 0.3236 0.7796  1 Ho 3.21, 2 Sm 3.37-3.47, 1 Pm 3.42
Pm12 0.0182 0.7978 0.3417  1 Ho 3.21, 2 Sm 3.37-3.47, 1 Pm 3.42
Pm13 0.0000 0.0000 0.0000  6 Pm 3.29
Pm14 0.2597 0.0000 0.2597  5 Pm 3.29-3.64, 2 Sm 3.40, 2 Ho 3.42
Pm15 0.6764 0.6583 0.4561  1 Ho 3.21, 2 Sm 3.37-3.47, 1 Pm 3.42
Pm16 0.7978 0.3417 0.0182  1 Ho 3.21, 2 Sm 3.37-3.47, 1 Pm 3.42
Pm17 0.7403 0.7403 0.0000  5 Pm 3.29-3.64, 2 Sm 3.40, 2 Ho 3.42
Pm18 0.3417 0.0182 0.7978  1 Ho 3.21, 2 Sm 3.37-3.47, 1 Pm 3.42
Pm19 0.7403 0.0000 0.7403  5 Pm 3.29-3.64, 2 Sm 3.40, 2 Ho 3.42
Ho1 0.1242 0.6242 0.5000  1 Ho 3.14, 4 Pm 3.21-3.42
Ho2 0.8758 0.3758 0.5000  1 Ho 3.14, 4 Pm 3.21-3.42
Ho3 0.5000 0.1242 0.6242  1 Ho 3.14, 4 Pm 3.21-3.42
Ho4 0.3758 0.5000 0.8758  1 Ho 3.14, 4 Pm 3.21-3.42
Ho5 0.6242 0.5000 0.1242  1 Ho 3.14, 4 Pm 3.21-3.42
Ho6 0.5000 0.8758 0.3758  1 Ho 3.14, 4 Pm 3.21-3.42
Sm1 0.0000 0.6369 0.0000  9 Pm 3.37-3.47
Sm2 0.6369 0.0000 0.0000  9 Pm 3.37-3.47
Sm3 0.3631 0.3631 0.3631  9 Pm 3.37-3.47
Sm4 0.0000 0.0000 0.6369  9 Pm 3.37-3.47

***

# 3
A geometry-optimized MgBiSe2 structure, computed with PBE.

## Properties
raw formation energy = -464 meV per atom

Lattice parameters (Å, degrees): 6.0686 6.0686 8.2581 68.44 68.44 90.00
With the nearest neighbours (Å) after each atom.
Element x y z (fractional)
Se1 0.8750 0.8344 0.7500  2 Mg 2.65, 2 Bi 2.92
Se2 0.5844 0.1250 0.2500  2 Mg 2.65, 2 Bi 2.92
Se3 0.1656 0.6250 0.2500  2 Mg 2.65, 2 Bi 2.92
Se4 0.3750 0.4156 0.7500  2 Mg 2.65, 2 Bi 2.92
Bi1 0.7500 0.2500 0.5000  4 Se 2.92
Bi2 0.0000 0.0000 0.0000  4 Se 2.92
Mg1 0.5000 0.5000 0.0000  4 Se 2.65
Mg2 0.2500 0.7500 0.5000  4 Se 2.65

***

# 4
A geometry-optimized Mn6Pt7 structure, computed with PBE.

## Properties
formation energy from the elements = -1.325 eV per formula unit

Lattice parameters (Å, degrees): 9.3339 9.3339 9.3339 33.19 33.19 33.19
With the nearest neighbours (Å) after each atom.
Element x y z (fractional)
Mn1 0.1611 0.1611 0.1611  4 Mn 2.82-3.09, 6 Pt 2.82-3.08
Mn2 0.8389 0.8389 0.8389  4 Mn 2.82-3.09, 6 Pt 2.82-3.08
Mn3 0.6673 0.6673 0.6673  6 Pt 2.66-2.69
Mn4 0.0546 0.0546 0.0546  6 Pt 2.77, 2 Mn 2.82-2.89
Mn5 0.3327 0.3327 0.3327  6 Pt 2.66-2.69
Mn6 0.9454 0.9454 0.9454  6 Pt 2.77, 2 Mn 2.82-2.89
Pt1 0.4171 0.9178 0.4171  5 Mn 2.66-2.82, 5 Pt 2.66-2.70
Pt2 0.5829 0.5829 0.0822  5 Mn 2.66-2.82, 5 Pt 2.66-2.70
Pt3 0.4171 0.4171 0.9178  5 Mn 2.66-2.82, 5 Pt 2.66-2.70
Pt4 0.5000 0.5000 0.5000  6 Pt 2.70
Pt5 0.9178 0.4171 0.4171  5 Mn 2.66-2.82, 5 Pt 2.66-2.70
Pt6 0.0822 0.5829 0.5829  5 Mn 2.66-2.82, 5 Pt 2.66-2.70
Pt7 0.5829 0.0822 0.5829  5 Mn 2.66-2.82, 5 Pt 2.66-2.70